# NpClF2

A relaxed NpClF2 crystal (GGA-PBE, the Alexandria database).

Cell: 3.9669 5.4683 7.1735 Å, 90.00 90.00 111.27°
Positions (direct):
Np 0.7750 0.5499 0.7500
Np 0.2250 0.4501 0.2500
Cl 0.9452 0.8904 0.2500
Cl 0.0548 0.1096 0.7500
F 0.3217 0.6433 0.5646
F 0.6783 0.3567 0.4354
F 0.3217 0.6433 0.9354
F 0.6783 0.3567 0.0646

## Properties
Calculated density, kg/m³: 7110
Magnetization, μB per formula unit: 4.00
Relative energy among the computed polymorphs, meV/atom: 0
Formation energy without anion corrections, eV/atom: -2.886